Record 1
Density functional theory data (GGA-PBEsol) for a relaxed structure of ZnSiTc2.

Cell lengths 2.704, 2.704, 8.107 Å; angles 90.00, 90.00, 112.82 degrees
Atoms (fractional coordinates):
1 Tc 0.000 0.000 0.233
2 Zn 0.500 0.500 0.500
3 Tc 0.000 0.000 0.767
4 Si 0.500 0.500 0.000

The value obtained for the density of states at the Fermi level is 3.32 states/eV/f.u. As for the space group: No. 65. For the energy relative to the lowest polymorph listed for this composition, the calculation gives 0.111 eV per atom. As for the uncorrected formation energy: 0.0 eV/f.u. The value obtained for the volume is 13.7 A^3/atom.

***

Record 2
Density functional theory data (GGA-PBEsol) for a relaxed structure of ZnSiTc2.

Cell lengths 4.193, 4.193, 4.193 Å; angles 60.00, 60.00, 60.00 degrees
Atoms (fractional coordinates):
1 Si 0.500 0.500 0.500
2 Zn 0.000 0.000 0.000
3 Tc 0.250 0.250 0.250
4 Tc 0.750 0.750 0.750

The value obtained for the density of states at the Fermi level is 3.80 states/eV/f.u. As for the space group: No. 225. For the energy relative to the lowest polymorph listed for this composition, the calculation gives 0.000 eV per atom. As for the uncorrected formation energy: -0.4 eV/f.u. The value obtained for the volume is 13.0 A^3/atom.

***

Record 3
Density functional theory data (GGA-PBEsol) for a relaxed structure of Zr2Si2Tc.

Cell lengths 3.880, 6.499, 6.499 Å; angles 90.00, 90.00, 90.00 degrees
Atoms (fractional coordinates):
1 Si 0.000 0.131 0.369
2 Si 0.000 0.869 0.631
3 Tc 0.000 0.000 0.000
4 Zr 0.500 0.327 0.173
5 Zr 0.500 0.673 0.827
6 Si 0.000 0.369 0.869
7 Zr 0.500 0.173 0.673
8 Si 0.000 0.631 0.131
9 Tc 0.000 0.500 0.500
10 Zr 0.500 0.827 0.327

The value obtained for the density of states at the Fermi level is 2.90 states/eV/f.u. As for the space group: No. 127. As for the uncorrected formation energy: -4.5 eV/f.u. The value obtained for the volume is 16.4 A^3/atom.

***

Record 4
Density functional theory data (GGA-PBEsol) for a relaxed structure of Zr2SiTc.

Cell lengths 4.543, 4.543, 4.543 Å; angles 60.00, 60.00, 60.00 degrees
Atoms (fractional coordinates):
1 Tc 0.250 0.250 0.250
2 Si 0.500 0.500 0.500
3 Zr 0.750 0.750 0.750
4 Zr 0.000 0.000 0.000

The value obtained for the density of states at the Fermi level is 3.23 states/eV/f.u. As for the space group: No. 216. As for the uncorrected formation energy: -1.2 eV/f.u. The value obtained for the volume is 16.6 A^3/atom.

***

Record 5
Density functional theory data (GGA-PBEsol) for a relaxed structure of Zr3SiTc.

Cell lengths 4.804, 4.804, 4.804 Å; angles 90.00, 90.00, 90.00 degrees
Site moments in Bohr magnetons follow the coordinates.
Atoms (fractional coordinates):
1 Zr 0.500 0.000 0.000  -0.04
2 Si 0.000 0.000 0.000  0.00
3 Tc 0.500 0.500 0.500  0.57
4 Zr 0.000 0.500 0.000  -0.04
5 Zr 0.000 0.000 0.500  -0.04

The value obtained for the density of states at the Fermi level is 5.54 states/eV/f.u. As for the space group: No. 221. As for the uncorrected formation energy: 3.4 eV/f.u. The value obtained for the volume is 22.2 A^3/atom.

***

Record 6
Density functional theory data (GGA-PBEsol) for a relaxed structure of Si3Te2.

Cell lengths 3.877, 3.877, 8.512 Å; angles 76.84, 76.84, 60.00 degrees
Atoms (fractional coordinates):
1 Si 0.816 0.816 0.553
2 Te 0.399 0.399 0.803
3 Te 0.601 0.601 0.197
4 Si 0.184 0.184 0.447
5 Si 0.000 0.000 0.000

The value obtained for the density of states at the Fermi level is 1.52 states/eV/f.u. As for the space group: No. 166. As for the uncorrected formation energy: 0.8 eV/f.u. The value obtained for the volume is 21.4 A^3/atom.

***

Record 7
Density functional theory data (GGA-PBEsol) for a relaxed structure of TiSiTe2.

Cell lengths 6.263, 6.263, 7.666 Å; angles 114.11, 114.11, 90.00 degrees
Site moments in Bohr magnetons follow the coordinates.
Atoms (fractional coordinates):
1 Ti 0.000 0.000 0.000  1.37
2 Si 0.750 0.250 0.500  0.05
3 Ti 0.250 0.750 0.500  1.37
4 Te 0.881 0.375 0.250  -0.05
5 Si 0.500 0.500 0.000  0.05
6 Te 0.369 0.875 0.250  -0.05
7 Te 0.125 0.119 0.750  -0.05
8 Te 0.625 0.631 0.750  -0.05

The value obtained for the density of states at the Fermi level is 3.48 states/eV/f.u. As for the space group: No. 122. As for the uncorrected formation energy: 0.9 eV/f.u. The value obtained for the volume is 30.7 A^3/atom.

***

Record 8
Density functional theory data (GGA-PBEsol) for a relaxed structure of TiSiTe3.

Cell lengths 5.221, 5.221, 5.221 Å; angles 90.00, 90.00, 90.00 degrees
Site moments in Bohr magnetons follow the coordinates.
Atoms (fractional coordinates):
1 Te 0.000 0.500 0.000  -0.02
2 Si 0.500 0.500 0.500  0.12
3 Ti 0.000 0.000 0.000  0.14
4 Te 0.500 0.000 0.000  -0.02
5 Te 0.000 0.000 0.500  -0.02

The value obtained for the density of states at the Fermi level is 4.85 states/eV/f.u. As for the space group: No. 221. As for the uncorrected formation energy: 1.7 eV/f.u. The value obtained for the volume is 28.5 A^3/atom.